## La4NdSb5 (PBE)

Data for a geometry-optimized La4NdSb5 structure. Values from VASP.

Structure (Quantum ESPRESSO input):
```
&SYSTEM
  ibrav = 0, nat = 10, ntyp = 3
/
ATOMIC_SPECIES
La 138.91 La.upf
Nd 144.24 Nd.upf
Sb 121.76 Sb.upf
CELL_PARAMETERS angstrom
-0.783 -1.133 4.400
-4.426 -4.376 -1.915
10.818 -5.286 -1.850
ATOMIC_POSITIONS angstrom
La 6.577 -6.438 -0.487
La 2.339 -7.594 0.877
La 3.270 -3.201 -0.242
La -0.968 -4.357 1.121
Nd 0.000 0.000 0.000
Sb 1.223 -2.147 2.080
Sb 4.533 -5.387 1.836
Sb 1.076 -5.408 -1.201
Sb -2.213 -2.188 -0.957
Sb 4.386 -8.648 -1.446
```

Output
Raw formation energy = -1259 meV/atom
Density = 6289 kg/m³
Volume = 345.6 Å³ per cell
DOS at the Fermi energy = 1.6 states/eV/f.u.
VASP energy = -5.768 eV/atom